# 1
## TbPd4 (GGA-PBE)

Data for an optimized crystal structure of TbPd4.

Calculated values
Electronic total energy ... -27.77 eV/f.u.
Crystal system ... monoclinic
Volume ... 18.7 Å³/atom
Energy of formation ... -46 kJ/mol of atoms
DOS at the Fermi energy ... 7.99 states/eV/cell

a b c (Å): 8.141 5.551 4.550
angles (deg): 90.00 114.58 90.00
Space group C2/m (No. 12)
Unique sites:
Tb 0.000 0.000 0.000 [2 per cell]
Pd 0.102 0.500 0.844 [4 per cell]
Pd 0.250 0.250 0.500 [4 per cell]

# 2
## Tb3Pd7 (GGA-PBE)

Data for an optimized crystal structure of Tb3Pd7.

Calculated values
Electronic total energy ... -58.97 eV/f.u.
Crystal system ... monoclinic
Volume ... 18.5 Å³/atom
Energy of formation ... -84 kJ/mol of atoms
DOS at the Fermi energy ... 5.94 states/eV/cell

a b c (Å): 15.431 4.233 5.852
angles (deg): 90.00 104.58 90.00
Space group C2/m (No. 12)
Unique sites:
Tb 0.000 0.000 0.000 [2 per cell]
Tb 0.188 0.000 0.633 [4 per cell]
Pd 0.000 0.000 0.500 [2 per cell]
Pd 0.098 0.500 0.815 [4 per cell]
Pd 0.100 0.500 0.317 [4 per cell]
Pd 0.199 0.000 0.126 [4 per cell]

# 3
## TbPd4 (GGA-PBE)

Data for an optimized crystal structure of TbPd4.

Calculated values
Electronic total energy ... -28.71 eV/f.u.
Crystal system ... orthorhombic
Volume ... 17.5 Å³/atom
Energy of formation ... -64 kJ/mol of atoms
DOS at the Fermi energy ... 15.49 states/eV/cell

a b c (Å): 4.390 5.734 13.889
angles (deg): 90.00 90.00 90.00
Space group Imma (No. 74)
Unique sites:
Tb 0.000 0.250 0.106 [4 per cell]
Pd 0.000 0.000 0.500 [4 per cell]
Pd 0.000 0.011 0.696 [8 per cell]
Pd 0.000 0.250 0.891 [4 per cell]

# 4
## Tb3Pd5 (GGA-PBE)

Data for an optimized crystal structure of Tb3Pd5.

Calculated values
Electronic total energy ... -47.20 eV/f.u.
Crystal system ... orthorhombic
Volume ... 20.1 Å³/atom
Energy of formation ... -89 kJ/mol of atoms
DOS at the Fermi energy ... 7.75 states/eV/cell

a b c (Å): 9.252 7.163 9.702
angles (deg): 90.00 90.00 90.00
Space group Cmcm (No. 63)
Unique sites:
Tb 0.000 0.119 0.250 [4 per cell]
Tb 0.203 0.500 0.000 [8 per cell]
Pd 0.000 0.188 0.546 [8 per cell]
Pd 0.000 0.482 0.750 [4 per cell]
Pd 0.223 0.219 0.750 [8 per cell]